## one
# MgAg2O4

MgAg2O4 after structural relaxation (GGA-PBE, Alexandria via LeMat-Bulk).

Lattice parameters (Å, degrees): 6.265 6.265 6.265 61.99 61.99 61.99
Sites, in units of the cell vectors:
1 Mg 0.000 0.000 0.000
2 Mg 0.385 0.385 0.385
3 Ag 0.386 0.386 0.889
4 Ag 0.386 0.889 0.386
5 Ag 0.773 0.773 0.773
6 Ag 0.889 0.386 0.386
7 O 0.132 0.132 0.132
8 O 0.148 0.148 0.604
9 O 0.148 0.604 0.148
10 O 0.189 0.622 0.622
11 O 0.604 0.148 0.148
12 O 0.622 0.189 0.622
13 O 0.622 0.622 0.189
14 O 0.634 0.634 0.634

Magnetization, μB/atom: 0.1491
V, Å³ per atom: 12.973
Crystal system: trigonal



## two
# MgAg2O4

MgAg2O4 after structural relaxation (GGA-PBE, Alexandria via LeMat-Bulk).

Lattice parameters (Å, degrees): 6.387 6.387 6.387 60.00 60.00 60.00
Sites, in units of the cell vectors:
1 Mg 0.125 0.125 0.125
2 Mg 0.875 0.875 0.875
3 Ag 0.000 0.500 0.500
4 Ag 0.500 0.000 0.500
5 Ag 0.500 0.500 0.000
6 Ag 0.500 0.500 0.500
7 O 0.254 0.254 0.254
8 O 0.254 0.254 0.737
9 O 0.254 0.737 0.254
10 O 0.263 0.746 0.746
11 O 0.737 0.254 0.254
12 O 0.746 0.263 0.746
13 O 0.746 0.746 0.263
14 O 0.746 0.746 0.746

Magnetization, μB/atom: 0.5011
V, Å³ per atom: 13.157
Crystal system: cubic



Calculated relative energies: one 0.000; two 0.080, given in eV/atom